Entry 1:
DFT (meta-GGA SCAN) results for a PBEsol-optimized structure of Na3CeF7.

Its magnetization is 0.0 μB per formula unit. The value obtained for the density of states at the Fermi level is 0.00 states/eV per atom. The formation energy from raw total energies is -3417 meV/atom. The energy is -239.15 eV for the cell shown.

The structure belongs to space group Cm (No. 8); the cell edges are 7.900, 7.726 and 6.599 Å and the angles 90.00°, 125.98° and 90.00°. The distinct sites, in fractional coordinates, are Na at (0.000, 0.000, 0.000), Na at (0.008, 0.272, 0.555), Ce at (0.463, 0.000, 0.015), F at (0.113, 0.000, 0.747), F at (0.151, 0.295, 0.283), F at (0.163, 0.500, 0.883), F at (0.361, 0.000, 0.268) and F at (0.370, 0.238, 0.788).

=====

Entry 2:
DFT (meta-GGA SCAN) results for a PBEsol-optimized structure of LaZn2Mo.

Its magnetization is 2.0 μB per formula unit. The value obtained for the density of states at the Fermi level is 1.10 states/eV per atom. As for the formation enthalpy at 0 K: 275 meV/atom. The value obtained for the energy above the most stable polymorph in this dataset is 0.000 eV/atom. The energy is -415.68 eV for the cell shown.

The structure belongs to space group Fm-3m (No. 225); the cell edges are 6.740, 6.740 and 6.740 Å and the angles 90.00°, 90.00° and 90.00°. The distinct sites, in fractional coordinates, are La at (0.000, 0.000, 0.000), Zn at (0.250, 0.250, 0.250) and Mo at (0.000, 0.000, 0.500).

=====

Entry 3:
DFT (meta-GGA SCAN) results for a PBEsol-optimized structure of Ti3NbSi.

Its magnetization is 2.1 μB per formula unit. The value obtained for the density of states at the Fermi level is 1.01 states/eV per atom. The formation energy from raw total energies is 1102 meV/atom. The energy is -85.72 eV for the cell shown.

The structure belongs to space group Pm-3m (No. 221); the cell edges are 4.649, 4.649 and 4.649 Å and the angles 90.00°, 90.00° and 90.00°. The distinct sites, in fractional coordinates, are Ti at (0.000, 0.000, 0.500), Nb at (0.000, 0.000, 0.000) and Si at (0.500, 0.500, 0.500).

=====

Entry 4:
DFT (meta-GGA SCAN) results for a PBEsol-optimized structure of InAs2CSe.

Its magnetization is 0.4 μB per formula unit. The value obtained for the density of states at the Fermi level is 0.57 states/eV per atom. The formation energy from raw total energies is 2003 meV/atom. The energy is -93.93 eV for the cell shown.

The structure belongs to space group P4/mmm (No. 123); the cell edges are 4.950, 4.950 and 5.264 Å and the angles 90.00°, 90.00° and 90.00°. The distinct sites, in fractional coordinates, are In at (0.000, 0.000, 0.000), As at (0.000, 0.500, 0.500), C at (0.500, 0.500, 0.000) and Se at (0.000, 0.000, 0.500).

=====

Entry 5:
DFT (meta-GGA SCAN) results for a PBEsol-optimized structure of TcSb2Te.

Its magnetization is 0.0 μB per formula unit. The value obtained for the density of states at the Fermi level is 0.49 states/eV per atom. The formation energy from raw total energies is 656 meV/atom. The value obtained for the energy above the most stable polymorph in this dataset is 0.189 eV/atom. The energy is -576.83 eV for the cell shown.

The structure belongs to space group F-43m (No. 216); the cell edges are 6.982, 6.982 and 6.982 Å and the angles 90.00°, 90.00° and 90.00°. The distinct sites, in fractional coordinates, are Tc at (0.000, 0.000, 0.000), Sb at (0.000, 0.000, 0.500), Sb at (0.250, 0.250, 0.250) and Te at (0.250, 0.250, 0.750).

=====

Entry 6:
DFT (meta-GGA SCAN) results for a PBEsol-optimized structure of Y2SiCl.

Its magnetization is 0.0 μB per formula unit. The value obtained for the density of states at the Fermi level is 0.31 states/eV per atom. The formation energy from raw total energies is -1277 meV/atom. The value obtained for the energy above the most stable polymorph in this dataset is 0.000 eV/atom. The energy is -78.79 eV for the cell shown.

The structure belongs to space group P4/mmm (No. 123); the cell edges are 3.987, 3.987 and 5.566 Å and the angles 90.00°, 90.00° and 90.00°. The distinct sites, in fractional coordinates, are Y at (0.000, 0.000, 0.000), Y at (0.500, 0.500, 0.500), Si at (0.000, 0.000, 0.500) and Cl at (0.500, 0.500, 0.000).

=====

Entry 7:
DFT (meta-GGA SCAN) results for a PBEsol-optimized structure of BaGaSCl2.

Its magnetization is 0.0 μB per formula unit. The value obtained for the density of states at the Fermi level is 0.13 states/eV per atom. The formation energy from raw total energies is -1605 meV/atom. The value obtained for the energy above the most stable polymorph in this dataset is 0.000 eV/atom. The energy is -89.50 eV for the cell shown.

The structure belongs to space group P4/mmm (No. 123); the cell edges are 5.046, 5.046 and 4.849 Å and the angles 90.00°, 90.00° and 90.00°. The distinct sites, in fractional coordinates, are Ba at (0.000, 0.000, 0.000), Ga at (0.500, 0.500, 0.500), S at (0.500, 0.500, 0.000) and Cl at (0.000, 0.500, 0.500).

=====

Entry 8:
DFT (meta-GGA SCAN) results for a PBEsol-optimized structure of Zr2CoI2.

Its magnetization is 1.4 μB per formula unit. The value obtained for the density of states at the Fermi level is 0.95 states/eV per atom. The formation energy from raw total energies is 656 meV/atom. The energy is -297.81 eV for the cell shown.

The structure belongs to space group I4/mmm (No. 139); the cell edges are 4.567, 4.567 and 12.717 Å and the angles 90.00°, 90.00° and 90.00°. The distinct sites, in fractional coordinates, are Zr at (0.000, 0.000, 0.106), Co at (0.000, 0.000, 0.500) and I at (0.000, 0.500, 0.250).

=====

Look up the energy of the fifth one. -576.83 eV for the cell shown

=====

Which formula does entry 3 have? Ti3NbSi

=====

Which value of energy does entry 1 give? -239.15 eV for the cell shown

=====

Repeat the seventh record exactly.
DFT (meta-GGA SCAN) results for a PBEsol-optimized structure of BaGaSCl2.

Its magnetization is 0.0 μB per formula unit. The value obtained for the density of states at the Fermi level is 0.13 states/eV per atom. The formation energy from raw total energies is -1605 meV/atom. The value obtained for the energy above the most stable polymorph in this dataset is 0.000 eV/atom. The energy is -89.50 eV for the cell shown.

The structure belongs to space group P4/mmm (No. 123); the cell edges are 5.046, 5.046 and 4.849 Å and the angles 90.00°, 90.00° and 90.00°. The distinct sites, in fractional coordinates, are Ba at (0.000, 0.000, 0.000), Ga at (0.500, 0.500, 0.500), S at (0.500, 0.500, 0.000) and Cl at (0.000, 0.500, 0.500).